(1)
VASP calculation (PBE-GGA) on crystalline YMgSi2N at its relaxed geometry. Values from VASP.

Calculated values
space group = No. 123
raw formation energy = 0.047 eV per atom
ρ = 3.70 g/cm3
DFT total energy = -5.399 eV per atom

Cell and atoms, written as Quantum ESPRESSO input:
```
&SYSTEM
  ibrav = 0, nat = 5, ntyp = 4
/
ATOMIC_SPECIES
Y 88.91 Y.upf
Mg 24.30 Mg.upf
Si 28.09 Si.upf
N 14.01 N.upf
CELL_PARAMETERS angstrom
4.5120 0.0000 0.0000
0.0000 4.5120 0.0000
0.0000 0.0000 4.0431
ATOMIC_POSITIONS angstrom
Y 0.0000 0.0000 0.0000
Mg 2.2560 2.2560 0.0000
Si 0.0000 2.2560 2.0216
Si 2.2560 0.0000 2.0216
N 2.2560 2.2560 2.0216
```

---

(2)
VASP calculation (PBE-GGA) on crystalline CrFe2ReH at its relaxed geometry. Values from VASP.

Calculated values
excess energy over the best structure of this formula in the dataset = 0.000 eV/atom
space group = No. 123
ρ = 11.93 g/cm3
DFT total energy = -8.434 eV per atom

Cell and atoms, written as Quantum ESPRESSO input:
```
&SYSTEM
  ibrav = 0, nat = 5, ntyp = 4
/
ATOMIC_SPECIES
Cr 52.00 Cr.upf
Fe 55.84 Fe.upf
Re 186.21 Re.upf
H 1.01 H.upf
CELL_PARAMETERS angstrom
3.6319 0.0000 0.0000
0.0000 3.6319 0.0000
0.0000 0.0000 3.7028
ATOMIC_POSITIONS angstrom
Cr 0.0000 0.0000 0.0000
Fe 0.0000 1.8159 1.8514
Fe 1.8159 0.0000 1.8514
Re 1.8159 1.8159 0.0000
H 0.0000 0.0000 1.8514
```

---

Question: The highest DFT total energy belongs to which entry?
Answer: YMgSi2N